ZrReIr PBE relaxed; E_form = -0.15 eV/atom; space-group type = No. 44; energy above the most stable polymorph in this dataset = 0.139 eV/atom
1.0
-3.0185 2.7063 -3.4219
-3.9987 -1.9958 -2.8585
2.2063 0.9086 4.7382
Zr Ir Re
1 1 1
direct
0.6684 0.6684 0.0000
0.9717 0.9717 0.0000
0.3600 0.3600 0.0000

=====

La2TiS5 PBE relaxed; formation energy (no corrections) = -1.84 eV/atom; space-group type = No. 62; energy above the most stable polymorph in this dataset = 0.000 eV/atom
1.0
7.3250 0.0000 0.0000
0.0000 8.1649 0.0000
0.0000 0.0000 11.2946
S La Ti
20 8 4
direct
0.4330 0.2500 0.0080
0.1781 0.9692 0.0625
0.1403 0.2500 0.7981
0.1781 0.5308 0.0625
0.8219 0.4692 0.9375
0.8219 0.0308 0.9375
0.8597 0.7500 0.2019
0.3762 0.7500 0.3088
0.3219 0.5308 0.5625
0.6403 0.7500 0.7019
0.6238 0.2500 0.6912
0.0670 0.2500 0.5080
0.3219 0.9692 0.5625
0.3597 0.2500 0.2981
0.6781 0.4692 0.4375
0.6781 0.0308 0.4375
0.5670 0.7500 0.9920
0.8762 0.2500 0.1912
0.1238 0.7500 0.8088
0.9330 0.7500 0.4920
0.0740 0.9989 0.3305
0.5740 0.4989 0.1695
0.0740 0.5011 0.3305
0.5740 0.0011 0.1695
0.9260 0.4989 0.6695
0.4260 0.9989 0.8305
0.4260 0.5011 0.8305
0.9260 0.0011 0.6695
0.9250 0.7500 0.9899
0.4250 0.2500 0.5101
0.5750 0.7500 0.4899
0.0750 0.2500 0.0101

=====

CeNdCdPt PBE relaxed; E_form = -0.54 eV/atom; space-group type = No. 216
1.0
-1.2443 5.0537 -0.5974
-4.0807 2.0171 2.5930
0.8002 3.3763 3.9250
Ce Pt Cd Nd
1 1 1 1
direct
0.0000 0.0000 0.0000
0.7500 0.7500 0.7500
0.2500 0.2500 0.2500
0.5000 0.5000 0.5000

=====

ScFe3P PBE relaxed; E_form = 1.58 eV/atom; space-group type = No. 221; energy above the most stable polymorph in this dataset = 1.658 eV/atom
1.0
4.4316 0.0000 0.0000
0.0000 4.4316 0.0000
0.0000 0.0000 4.4316
P Fe Sc
1 3 1
direct
0.5000 0.5000 0.5000
0.0000 0.5000 0.0000
0.0000 0.0000 0.5000
0.5000 0.0000 0.0000
0.0000 0.0000 0.0000

=====

Number 1: electronic total energy -10.099 eV per atom. Number 2: electronic total energy -6.637 eV per atom. Number 3: electronic total energy -4.953 eV per atom. Number 4: electronic total energy -5.849 eV per atom.